# 1
# KPb2F5

A relaxed structure of KPb2F5 (GGA-PBE, Alexandria via LeMat-Bulk).

Computed properties:
- space group = No. 14
- formation energy without anion corrections (meV/atom) = -2469
- N(E_F) (states/eV/cell) = 0.00
- raw total energy (eV/atom) = -4.70

a = 8.4756 Å, b = 6.2718 Å, c = 12.8750 Å
α = 90.00°, β = 106.26°, γ = 90.00°
Element x y z (fractional)
K  0.0000  0.0000  0.0000
K  0.0000  0.5000  0.5000
K  0.5000  0.0000  0.0000
K  0.5000  0.5000  0.5000
Pb  0.1533  0.0485  0.3273
Pb  0.1533  0.4515  0.8273
Pb  0.3161  0.5053  0.1447
Pb  0.3161  0.9947  0.6447
Pb  0.6839  0.0053  0.3553
Pb  0.6839  0.4947  0.8553
Pb  0.8467  0.5485  0.1727
Pb  0.8467  0.9515  0.6727
F  0.0717  0.1842  0.6596
F  0.0717  0.3158  0.1596
F  0.1214  0.7365  0.6791
F  0.1214  0.7635  0.1791
F  0.2521  0.2496  0.4975
F  0.2521  0.2504  0.9975
F  0.2795  0.6973  0.9708
F  0.2795  0.8027  0.4708
F  0.4238  0.2437  0.2998
F  0.4238  0.2563  0.7998
F  0.5762  0.7437  0.2002
F  0.5762  0.7563  0.7002
F  0.7205  0.1973  0.5292
F  0.7205  0.3027  0.0292
F  0.7479  0.7496  0.0025
F  0.7479  0.7504  0.5025
F  0.8786  0.2365  0.8209
F  0.8786  0.2635  0.3209
F  0.9283  0.6842  0.8404
F  0.9283  0.8158  0.3404

# 2
# K3PbF

A relaxed structure of K3PbF (GGA-PBE, Alexandria via LeMat-Bulk).

Computed properties:
- space group = No. 221
- formation energy without anion corrections (meV/atom) = -1070
- N(E_F) (states/eV/cell) = 3.15
- raw total energy (eV/atom) = -2.84

a = 5.5124 Å, b = 5.5124 Å, c = 5.5124 Å
α = 90.00°, β = 90.00°, γ = 90.00°
Element x y z (fractional)
K  0.0000  0.0000  0.5000
K  0.0000  0.5000  0.0000
K  0.5000  0.0000  0.0000
Pb  0.5000  0.5000  0.5000
F  0.0000  0.0000  0.0000

# 3
# K3PbF8

A relaxed structure of K3PbF8 (GGA-PBE, Alexandria via LeMat-Bulk).

Computed properties:
- space group = No. 121
- formation energy without anion corrections (meV/atom) = -2238
- N(E_F) (states/eV/cell) = 6.47
- raw total energy (eV/atom) = -4.07

a = 6.8681 Å, b = 6.8681 Å, c = 6.8681 Å
α = 122.81°, β = 122.81°, γ = 85.20°
Element x y z (fractional)
K  0.0000  0.0000  0.0000
K  0.2500  0.7500  0.5000
K  0.7500  0.2500  0.5000
Pb  0.5000  0.5000  0.0000
F  0.1824  0.4507  0.0000
F  0.2192  0.2192  0.5488
F  0.3296  0.7808  0.0000
F  0.4507  0.1824  0.0000
F  0.5493  0.5493  0.7316
F  0.6704  0.6704  0.4512
F  0.7808  0.3296  0.0000
F  0.8176  0.8176  0.2684

# 4
# KPbF

A relaxed structure of KPbF (GGA-PBE, Alexandria via LeMat-Bulk).

Computed properties:
- space group = No. 11
- formation energy without anion corrections (meV/atom) = -1705
- N(E_F) (states/eV/cell) = 0.42
- raw total energy (eV/atom) = -3.93

a = 3.6334 Å, b = 3.6334 Å, c = 12.4148 Å
α = 90.00°, β = 90.60°, γ = 90.00°
Element x y z (fractional)
K  0.2448  0.2500  0.3877
K  0.7552  0.7500  0.6123
Pb  0.2479  0.2500  0.9071
Pb  0.7521  0.7500  0.0929
F  0.2553  0.2500  0.6084
F  0.7447  0.7500  0.3916

# 5
# K2PbF4

A relaxed structure of K2PbF4 (GGA-PBE, Alexandria via LeMat-Bulk).

Computed properties:
- space group = No. 55
- formation energy without anion corrections (meV/atom) = -2596
- N(E_F) (states/eV/cell) = 0.00
- raw total energy (eV/atom) = -4.51

a = 6.5764 Å, b = 11.2398 Å, c = 3.8576 Å
α = 90.00°, β = 90.00°, γ = 90.00°
Element x y z (fractional)
K  0.0630  0.1808  0.0000
K  0.4370  0.6808  0.0000
K  0.5630  0.3192  0.0000
K  0.9370  0.8192  0.0000
Pb  0.0000  0.5000  0.5000
Pb  0.5000  0.0000  0.5000
F  0.1465  0.6998  0.5000
F  0.2347  0.4594  0.0000
F  0.2653  0.9594  0.0000
F  0.3535  0.1998  0.5000
F  0.6465  0.8002  0.5000
F  0.7347  0.0406  0.0000
F  0.7653  0.5406  0.0000
F  0.8535  0.3002  0.5000

# 6
# KPb2F11

A relaxed structure of KPb2F11 (GGA-PBE, Alexandria via LeMat-Bulk).

Computed properties:
- space group = No. 72
- formation energy without anion corrections (meV/atom) = -1680
- N(E_F) (states/eV/cell) = 18.55
- raw total energy (eV/atom) = -3.76

a = 9.2536 Å, b = 9.2536 Å, c = 9.2536 Å
α = 124.86°, β = 111.97°, γ = 93.12°
Element x y z (fractional)
K  0.2500  0.2500  0.0000
K  0.7500  0.7500  0.0000
Pb  0.1998  0.6745  0.8742
Pb  0.3002  0.1745  0.4747
Pb  0.6998  0.8255  0.5253
Pb  0.8002  0.3255  0.1258
F  0.0000  0.5000  0.5000
F  0.0338  0.3520  0.1523
F  0.0498  0.0129  0.3041
F  0.1972  0.4143  0.6115
F  0.1997  0.8815  0.8477
F  0.2088  0.5129  0.9631
F  0.2912  0.2543  0.3041
F  0.3003  0.1480  0.6818
F  0.3028  0.9143  0.2172
F  0.4502  0.7543  0.9631
F  0.4662  0.6185  0.3182
F  0.5000  0.0000  0.5000
F  0.5338  0.3815  0.6818
F  0.5498  0.2457  0.0369
F  0.6972  0.0857  0.7828
F  0.6997  0.8520  0.3182
F  0.7088  0.7457  0.6959
F  0.7912  0.4871  0.0369
F  0.8003  0.1185  0.1523
F  0.8028  0.5857  0.3885
F  0.9502  0.9871  0.6959
F  0.9662  0.6480  0.8477